[1]
Sc4FeTe: relaxed, PBE.

Structure (CIF):
```
data_Sc4FeTe
_chemical_formula_sum 'Sc16 Fe4 Te4'
_symmetry_space_group_name_H-M 'F -4 3 m'
_symmetry_Int_Tables_number 216
_symmetry_space_group_name_Hall 'F -4 2 3'
_cell_length_a 8.176
_cell_length_b 8.176
_cell_length_c 8.176
_cell_angle_alpha 90.00
_cell_angle_beta 90.00
_cell_angle_gamma 90.00
loop_
_atom_site_label
_atom_site_type_symbol
_atom_site_fract_x
_atom_site_fract_y
_atom_site_fract_z
Sc1 Sc 0.124 0.124 0.376
Fe1 Fe 0.250 0.250 0.750
Te1 Te 0.000 0.000 0.000
```

## Properties
Formation energy without anion corrections, kJ per mole of atoms: 35.11
N(E_F), states/eV/cell: 34.8
Energy relative to the lowest polymorph listed for this composition, eV/f.u.: 5.03



[2]
CsSr2SmBr8: relaxed, PBE.

Structure (CIF):
```
data_CsSr2SmBr8
_chemical_formula_sum 'Cs1 Sr2 Sm1 Br8'
_symmetry_space_group_name_H-M 'P -1'
_symmetry_Int_Tables_number 2
_symmetry_space_group_name_Hall '-P 1'
_cell_length_a 7.032
_cell_length_b 7.254
_cell_length_c 9.732
_cell_angle_alpha 89.97
_cell_angle_beta 89.94
_cell_angle_gamma 89.68
loop_
_atom_site_label
_atom_site_type_symbol
_atom_site_fract_x
_atom_site_fract_y
_atom_site_fract_z
Cs1 Cs 0.000 0.000 0.000
Sr1 Sr 0.500 0.500 0.250
Sm1 Sm 0.000 0.000 0.500
Br1 Br 0.241 0.839 0.704
Br2 Br 0.241 0.840 0.296
Br3 Br 0.254 0.324 0.500
Br4 Br 0.264 0.398 0.000
```

## Properties
Formation energy without anion corrections, kJ per mole of atoms: -188.38
N(E_F), states/eV/cell: 0.0



[3]
TlRu2Pt: relaxed, PBE.

Structure (CIF):
```
data_TlRu2Pt
_chemical_formula_sum 'Tl4 Ru8 Pt4'
_symmetry_space_group_name_H-M 'F m -3 m'
_symmetry_Int_Tables_number 225
_symmetry_space_group_name_Hall '-F 4 2 3'
_cell_length_a 6.395
_cell_length_b 6.395
_cell_length_c 6.395
_cell_angle_alpha 90.00
_cell_angle_beta 90.00
_cell_angle_gamma 90.00
loop_
_atom_site_label
_atom_site_type_symbol
_atom_site_fract_x
_atom_site_fract_y
_atom_site_fract_z
Tl1 Tl 0.000 0.000 0.000
Ru1 Ru 0.250 0.250 0.250
Pt1 Pt 0.000 0.000 0.500
```

## Properties
N(E_F), states/eV/cell: 23.8
Energy relative to the lowest polymorph listed for this composition, eV/f.u.: 0.87



For the records above, the corresponding total energy values read -5.79 -3.81 -6.26 eV per atom.